VASP calculation (PBE) on a geometry-optimized LaGd2Ru structure.

```
LaGd2Ru
1.0
3.477 0.000 0.000
0.000 3.477 0.000
0.000 0.000 9.295
La Gd Ru
1 2 1
direct
0.000 0.000 0.000
0.500 0.500 0.322
0.500 0.500 0.678
0.000 0.000 0.500
```

Values from the calculation:
D(E_F) = 3.689 states/eV/cell
Uncorrected energy = -10.77 eV/atom
Space group = P4/mmm (123)
Formation energy = -0.18 eV per atom